Record 1
CsLuZr | the Open Quantum Materials Database | PBE-GGA | optimized geometry; energy above the most stable polymorph in this dataset = 0 meV/atom; space group = F-43m
1.0
0.000 4.021 4.021
4.021 0.000 4.021
4.021 4.021 0.000
Cs Lu Zr
1 1 1
direct
0.250 0.250 0.250 Cs
0.750 0.750 0.750 Lu
0.000 0.000 0.000 Zr

---

Record 2
Er3Sc3FeTe2 | the Open Quantum Materials Database | PBE-GGA | optimized geometry; energy above the most stable polymorph in this dataset = 0 meV/atom; space group = P-62m
1.0
-5.972 -2.257 -4.678
-0.806 -0.297 7.868
-1.396 3.701 -0.003
Er Fe Sc Te
3 1 3 2
direct
0.612 0.000 0.000 Er
0.388 0.388 0.000 Er
0.000 0.612 0.000 Er
0.000 0.000 0.000 Fe
0.227 0.000 0.500 Sc
0.000 0.227 0.500 Sc
0.773 0.773 0.500 Sc
0.667 0.333 0.500 Te
0.333 0.667 0.500 Te

---

Record 3
Mg12W | the Open Quantum Materials Database | PBE-GGA | optimized geometry; space group = I4/mmm; electronic total energy = -2.043 eV per atom
1.0
-5.002 5.002 2.843
5.002 -5.002 2.843
5.002 5.002 -2.843
Mg W
12 1
direct
0.500 0.000 0.000 Mg
0.000 0.500 0.000 Mg
0.702 0.500 0.202 Mg
0.500 0.702 0.202 Mg
0.343 0.000 0.343 Mg
0.000 0.343 0.343 Mg
0.000 0.000 0.500 Mg
0.500 0.500 0.500 Mg
0.657 0.000 0.657 Mg
0.000 0.657 0.657 Mg
0.500 0.298 0.798 Mg
0.298 0.500 0.798 Mg
0.000 0.000 0.000 W

---

Computed spin magnetization, in the same sequence as the records: 4.4, 0.2, 1.8 μB/cell.